1.
{
  "formula": "Er4C3",
  "functional": "PBE-GGA",
  "state": "optimized geometry",
  "spacegroup": "R-3m (166)",
  "total_energy_ev_per_atom": -6.809,
  "mass_density_g_cm3": 8.768,
  "lattice_angstrom": [[1.777, 1.026, 12.210], [-1.777, 1.026, 12.210], [0.000, -2.052, 12.210]],
  "species": ["Er", "Er", "Er", "Er", "C", "C", "C"],
  "fractional_positions": [[0.114, 0.114, 0.114], [0.294, 0.294, 0.294], [0.706, 0.706, 0.706], [0.886, 0.886, 0.886], [0.000, 0.000, 0.000], [0.417, 0.417, 0.417], [0.583, 0.583, 0.583]]
}

---

2.
{
  "formula": "Er14C",
  "functional": "PBE-GGA",
  "state": "optimized geometry",
  "spacegroup": "R-3m (166)",
  "total_energy_ev_per_atom": -4.300,
  "mass_density_g_cm3": 8.291,
  "lattice_angstrom": [[4.809, 2.776, 5.885], [-4.809, 2.776, 5.885], [0.000, -5.553, 5.885]],
  "species": ["Er", "Er", "Er", "Er", "Er", "Er", "Er", "Er", "Er", "Er", "Er", "Er", "Er", "Er", "C"],
  "fractional_positions": [[0.129, 0.129, 0.129], [0.178, 0.500, 0.822], [0.178, 0.822, 0.500], [0.194, 0.194, 0.589], [0.194, 0.589, 0.194], [0.411, 0.806, 0.806], [0.500, 0.178, 0.822], [0.500, 0.822, 0.178], [0.589, 0.194, 0.194], [0.806, 0.411, 0.806], [0.806, 0.806, 0.411], [0.822, 0.178, 0.500], [0.822, 0.500, 0.178], [0.871, 0.871, 0.871], [0.000, 0.000, 0.000]]
}

---

3.
{
  "formula": "Er15C19",
  "functional": "PBE-GGA",
  "state": "optimized geometry",
  "spacegroup": "P-42_1c (114)",
  "total_energy_ev_per_atom": -7.511,
  "mass_density_g_cm3": 9.147,
  "lattice_angstrom": [[8.053, 0.000, 0.000], [0.000, 8.053, 0.000], [0.000, 0.000, 15.325]],
  "species": ["Er", "Er", "Er", "Er", "Er", "Er", "Er", "Er", "Er", "Er", "Er", "Er", "Er", "Er", "Er", "Er", "Er", "Er", "Er", "Er", "Er", "Er", "Er", "Er", "Er", "Er", "Er", "Er", "Er", "Er", "C", "C", "C", "C", "C", "C", "C", "C", "C", "C", "C", "C", "C", "C", "C", "C", "C", "C", "C", "C", "C", "C", "C", "C", "C", "C", "C", "C", "C", "C", "C", "C", "C", "C", "C", "C", "C", "C"],
  "fractional_positions": [[0.000, 0.000, 0.000], [0.000, 0.000, 0.331], [0.000, 0.000, 0.669], [0.093, 0.297, 0.500], [0.098, 0.715, 0.150], [0.099, 0.715, 0.850], [0.203, 0.407, 0.000], [0.215, 0.598, 0.650], [0.215, 0.599, 0.350], [0.285, 0.098, 0.850], [0.285, 0.099, 0.150], [0.297, 0.907, 0.500], [0.401, 0.215, 0.650], [0.402, 0.215, 0.350], [0.407, 0.797, 0.000], [0.500, 0.500, 0.169], [0.500, 0.500, 0.500], [0.500, 0.500, 0.831], [0.593, 0.203, 0.000], [0.598, 0.785, 0.350], [0.599, 0.785, 0.650], [0.703, 0.093, 0.500], [0.715, 0.901, 0.150], [0.715, 0.902, 0.850], [0.785, 0.401, 0.350], [0.785, 0.402, 0.650], [0.797, 0.593, 0.000], [0.901, 0.285, 0.850], [0.902, 0.285, 0.150], [0.907, 0.703, 0.500], [0.000, 0.000, 0.163], [0.000, 0.000, 0.500], [0.000, 0.000, 0.837], [0.096, 0.303, 0.328], [0.096, 0.303, 0.669], [0.102, 0.697, 0.000], [0.150, 0.348, 0.749], [0.152, 0.350, 0.249], [0.197, 0.404, 0.169], [0.197, 0.404, 0.828], [0.197, 0.602, 0.500], [0.303, 0.102, 0.000], [0.303, 0.904, 0.331], [0.303, 0.904, 0.672], [0.348, 0.850, 0.251], [0.350, 0.848, 0.751], [0.398, 0.197, 0.500], [0.404, 0.803, 0.172], [0.404, 0.803, 0.831], [0.500, 0.500, 0.000], [0.500, 0.500, 0.337], [0.500, 0.500, 0.663], [0.596, 0.197, 0.172], [0.596, 0.197, 0.831], [0.602, 0.803, 0.500], [0.650, 0.152, 0.751], [0.652, 0.150, 0.251], [0.697, 0.096, 0.331], [0.697, 0.096, 0.672], [0.697, 0.898, 0.000], [0.803, 0.398, 0.500], [0.803, 0.596, 0.169], [0.803, 0.596, 0.828], [0.848, 0.650, 0.249], [0.850, 0.652, 0.749], [0.898, 0.303, 0.000], [0.904, 0.697, 0.328], [0.904, 0.697, 0.669]]
}

---

4.
{
  "formula": "Er4C3",
  "functional": "PBE-GGA",
  "state": "optimized geometry",
  "spacegroup": "I-43d (220)",
  "total_energy_ev_per_atom": -6.849,
  "mass_density_g_cm3": 10.006,
  "lattice_angstrom": [[-3.882, 3.882, 3.882], [3.882, -3.882, 3.882], [3.882, 3.882, -3.882]],
  "species": ["Er", "Er", "Er", "Er", "Er", "Er", "Er", "Er", "C", "C", "C", "C", "C", "C"],
  "fractional_positions": [[0.000, 0.408, 0.500], [0.000, 0.908, 0.500], [0.092, 0.092, 0.092], [0.408, 0.500, 0.000], [0.500, 0.000, 0.408], [0.500, 0.000, 0.908], [0.592, 0.592, 0.592], [0.908, 0.500, 0.000], [0.125, 0.750, 0.875], [0.250, 0.625, 0.375], [0.375, 0.250, 0.625], [0.625, 0.375, 0.250], [0.750, 0.875, 0.125], [0.875, 0.125, 0.750]]
}

---

5.
{
  "formula": "ErC8",
  "functional": "PBE-GGA",
  "state": "optimized geometry",
  "spacegroup": "Fddd (70)",
  "total_energy_ev_per_atom": -8.661,
  "mass_density_g_cm3": 4.826,
  "lattice_angstrom": [[0.000, 4.342, 8.323], [2.507, 0.000, 8.323], [2.507, 4.342, 0.000]],
  "species": ["Er", "Er", "C", "C", "C", "C", "C", "C", "C", "C", "C", "C", "C", "C", "C", "C", "C", "C"],
  "fractional_positions": [[0.125, 0.125, 0.125], [0.875, 0.875, 0.875], [0.084, 0.416, 0.831], [0.085, 0.420, 0.333], [0.168, 0.831, 0.416], [0.169, 0.832, 0.916], [0.333, 0.662, 0.085], [0.338, 0.667, 0.580], [0.416, 0.084, 0.168], [0.420, 0.085, 0.662], [0.580, 0.915, 0.338], [0.584, 0.916, 0.832], [0.662, 0.333, 0.420], [0.667, 0.338, 0.915], [0.831, 0.168, 0.084], [0.832, 0.169, 0.584], [0.915, 0.580, 0.667], [0.916, 0.584, 0.169]]
}

---

6.
{
  "formula": "Er8C",
  "functional": "PBE-GGA",
  "state": "optimized geometry",
  "spacegroup": "Cmmm (65)",
  "total_energy_ev_per_atom": -3.575,
  "mass_density_g_cm3": 7.202,
  "lattice_angstrom": [[5.417, -9.368, 0.000], [5.417, 9.368, 0.000], [0.000, 0.000, 3.067]],
  "species": ["Er", "Er", "Er", "Er", "Er", "Er", "Er", "Er", "C"],
  "fractional_positions": [[0.157, 0.313, 0.000], [0.157, 0.843, 0.000], [0.313, 0.157, 0.000], [0.333, 0.667, 0.000], [0.667, 0.333, 0.000], [0.687, 0.843, 0.000], [0.843, 0.157, 0.000], [0.843, 0.687, 0.000], [0.000, 0.000, 0.500]]
}